[1]
Na2SrAc: optimized geometry, PBE.

## Properties
Energy relative to the elements (eV per atom): 0.1300
D(E_F) (states/eV/atom): 0.84
Total magnetic moment (μB per atom): 0.000

Unit cell a=3.9716 b=3.9716 c=39.3643 alpha=90.00 beta=90.00 gamma=120.00
Closest atoms and distances in Å follow each position.
Space group R3m (No. 160, hexagonal axes)
Inequivalent atoms, fractional coordinates:
Na: 0.0000 0.0000 0.0000 x3  3 Ac 3.96, 6 Na 3.97, 3 Sr 4.05
Na: 0.0000 0.0000 0.1639 x3  3 Ac 3.96, 6 Na 3.97, 3 Sr 4.04
Sr: 0.0000 0.0000 0.5818 x3  6 Sr 3.97, 6 Na 4.04-4.05
Ac: 0.0000 0.0000 0.4153 x3  6 Na 3.96, 6 Ac 3.97

=====

[2]
Na2SrAc: optimized geometry, PBE.

## Properties
Energy relative to the elements (eV per atom): 0.1571
D(E_F) (states/eV/atom): 1.08
Total magnetic moment (μB per atom): 0.076

Unit cell a=4.3939 b=4.3939 c=8.9379 alpha=90.00 beta=90.00 gamma=90.00
Closest atoms and distances in Å follow each position.
Space group P4/mmm (No. 123)
Inequivalent atoms, fractional coordinates:
Na: 0.0000 0.0000 0.2481 x2  4 Ac 3.82, 4 Sr 3.84
Sr: 0.5000 0.5000 0.5000 x1  8 Na 3.84
Ac: 0.5000 0.5000 0.0000 x1  8 Na 3.82

=====

[3]
NaSr2Ac: optimized geometry, PBE.

## Properties
Energy relative to the elements (eV per atom): 0.1989
D(E_F) (states/eV/atom): 1.50
Total magnetic moment (μB per atom): 0.000

Unit cell a=9.1812 b=9.1812 c=9.1812 alpha=90.00 beta=90.00 gamma=90.00
Closest atoms and distances in Å follow each position.
Space group Fm-3m (No. 225)
Inequivalent atoms, fractional coordinates:
Na: 0.0000 0.0000 0.0000 x4  8 Sr 3.98
Sr: 0.2500 0.2500 0.2500 x8  4 Ac 3.98, 4 Na 3.98
Ac: 0.0000 0.0000 0.5000 x4  8 Sr 3.98

=====

[4]
NaSr3Ac4Te8: optimized geometry, PBE.

## Properties
D(E_F) (states/eV/atom): 0.34
Raw formation energy (kJ/mol of atoms): -149.7
Total magnetic moment (μB per atom): 0.000

Unit cell a=9.4123 b=9.4123 c=23.3667 alpha=90.00 beta=90.00 gamma=120.00
Closest atoms and distances in Å follow each position.
Space group R-3m (No. 166, hexagonal axes)
Inequivalent atoms, fractional coordinates:
Na: 0.0000 0.0000 0.0000 x3  6 Te 3.31
Sr: 0.0000 0.5000 0.0000 x9  6 Te 3.33
Ac: 0.0000 0.0000 0.5000 x3  6 Te 3.37
Ac: 0.0000 0.5000 0.5000 x9  6 Te 3.35-3.36
Te: 0.0000 0.0000 0.2513 x6  3 Sr 3.33, 3 Ac 3.36
Te: 0.0021 0.5011 0.7488 x18  1 Na 3.31, 2 Sr 3.33, 3 Ac 3.35-3.37

=====

[5]
NaSr3Ac2Te6: optimized geometry, PBE.

## Properties
D(E_F) (states/eV/atom): 0.32
Raw formation energy (kJ/mol of atoms): -152.1
Total magnetic moment (μB per atom): 0.000

Unit cell a=8.1958 b=14.1916 c=8.2050 alpha=90.00 beta=109.45 gamma=90.00
Closest atoms and distances in Å follow each position.
Space group C2/m (No. 12)
Inequivalent atoms, fractional coordinates:
Na: 0.0000 0.0000 0.0000 x2  6 Te 3.34
Sr: 0.0000 0.1663 0.5000 x4  6 Te 3.35-3.36
Sr: 0.0000 0.5000 0.5000 x2  6 Te 3.35-3.36
Ac: 0.0000 0.3334 0.0000 x4  6 Te 3.34
Te: 0.2494 0.1664 0.2489 x8  1 Na 3.34, 2 Ac 3.34, 3 Sr 3.35-3.36
Te: 0.2498 0.0000 0.7511 x4  1 Na 3.34, 2 Ac 3.34, 3 Sr 3.35-3.36

=====

[6]
NaSr2AcTe4: optimized geometry, PBE.

## Properties
Raw formation energy (kJ/mol of atoms): -149.8
Total magnetic moment (μB per atom): 0.000

Unit cell a=8.1472 b=4.7660 c=8.1901 alpha=90.00 beta=108.90 gamma=90.00
Closest atoms and distances in Å follow each position.
Space group P2/m (No. 10)
Inequivalent atoms, fractional coordinates:
Na: 0.0000 0.0000 0.0000 x1  6 Te 3.30-3.37
Sr: 0.0000 0.5000 0.5000 x1  6 Te 3.34-3.38
Sr: 0.5000 0.0000 0.5000 x1  6 Te 3.35-3.36
Ac: 0.5000 0.5000 0.0000 x1  6 Te 3.30-3.35
Te: 0.2498 0.0000 0.7539 x2  1 Na 3.30, 3 Sr 3.35-3.38, 2 Ac 3.35
Te: 0.2526 0.5000 0.2496 x2  1 Ac 3.30, 3 Sr 3.34-3.36, 2 Na 3.37

=====

[7]
NaSr2AcTl4: optimized geometry, PBE.

## Properties
Energy relative to the elements (eV per atom): -0.3286
D(E_F) (states/eV/atom): 0.63
Total magnetic moment (μB per atom): 0.000

Unit cell a=5.7168 b=5.7168 c=28.4110 alpha=90.00 beta=90.00 gamma=120.00
Closest atoms and distances in Å follow each position.
Space group R-3m (No. 166, hexagonal axes)
Inequivalent atoms, fractional coordinates:
Na: 0.0000 0.0000 0.0000 x3  8 Tl 3.43-3.52
Sr: 0.0000 0.0000 0.2548 x6  8 Tl 3.44-3.81
Ac: 0.0000 0.0000 0.5000 x3  8 Tl 3.52-3.55
Tl: 0.0000 0.0000 0.1208 x6  1 Na 3.43, 4 Sr 3.51-3.81, 3 Ac 3.55
Tl: 0.0000 0.0000 0.3759 x6  4 Sr 3.44-3.45, 3 Na 3.52, 1 Ac 3.52

=====

[8]
NaSrAcTl: optimized geometry, PBE.

## Properties
Energy relative to the elements (eV per atom): -0.1489
D(E_F) (states/eV/atom): 0.87
Total magnetic moment (μB per atom): 0.000

Unit cell a=8.3519 b=8.3519 c=8.3519 alpha=90.00 beta=90.00 gamma=90.00
Closest atoms and distances in Å follow each position.
Space group F-43m (No. 216)
Inequivalent atoms, fractional coordinates:
Na: 0.0000 0.0000 0.0000 x4  4 Ac 3.62, 4 Sr 3.62
Sr: 0.2500 0.2500 0.2500 x4  4 Tl 3.62, 4 Na 3.62
Ac: 0.2500 0.2500 0.7500 x4  4 Tl 3.62, 4 Na 3.62
Tl: 0.0000 0.0000 0.5000 x4  4 Sr 3.62, 4 Ac 3.62

=====

[9]
NaAcTb: optimized geometry, PBE.

## Properties
Energy relative to the elements (eV per atom): 0.0668
D(E_F) (states/eV/atom): 1.23
Total magnetic moment (μB per atom): 0.000

Unit cell a=3.8015 b=3.8015 c=55.5755 alpha=90.00 beta=90.00 gamma=120.00
Closest atoms and distances in Å follow each position.
Space group R-3m (No. 166, hexagonal axes)
Inequivalent atoms, fractional coordinates:
Na: 0.0000 0.0000 0.1948 x6  9 Na 3.80-3.82, 3 Ac 3.97
Ac: 0.0000 0.0000 0.4124 x6  3 Tb 3.71, 6 Ac 3.80, 3 Na 3.97
Tb: 0.0000 0.0000 0.3081 x6  9 Tb 3.56-3.80, 3 Ac 3.71

=====

[10]
NaAcTb: optimized geometry, PBE.

## Properties
Energy relative to the elements (eV per atom): 0.1497
D(E_F) (states/eV/atom): 1.44
Total magnetic moment (μB per atom): 0.000

Unit cell a=3.7641 b=3.7641 c=9.4244 alpha=90.00 beta=90.00 gamma=120.00
Closest atoms and distances in Å follow each position.
Space group P3m1 (No. 156)
Inequivalent atoms, fractional coordinates:
Na: 0.0000 0.0000 0.0000 x1  6 Na 3.76, 3 Tb 3.80, 3 Ac 4.00
Ac: 0.6667 0.3333 0.3569 x1  3 Tb 3.65, 6 Ac 3.76, 3 Na 4.00
Tb: 0.3333 0.6667 0.6686 x1  3 Ac 3.65, 6 Tb 3.76, 3 Na 3.80

=====

[11]
NaAcTb: optimized geometry, PBE.

## Properties
Energy relative to the elements (eV per atom): 0.3304
D(E_F) (states/eV/atom): 1.99
Total magnetic moment (μB per atom): 0.000

Unit cell a=5.6615 b=5.6627 c=10.1679 alpha=105.89 beta=90.23 gamma=119.91
Closest atoms and distances in Å follow each position.
Space group P-1 (No. 2)
Inequivalent atoms, fractional coordinates:
Na: 0.2028 0.4080 0.1086 x2  4 Ac 3.80-4.03, 1 Tb 3.83, 3 Na 3.85-3.91
Ac: 0.0638 0.1249 0.6901 x2  1 Ac 3.66, 6 Tb 3.71-3.78, 4 Na 3.80-4.03
Tb: 0.3352 0.6713 0.5063 x2  3 Tb 3.27-3.28

=====

[12]
NaAcTb: optimized geometry, PBE.

## Properties
Energy relative to the elements (eV per atom): 0.1661
D(E_F) (states/eV/atom): 1.28
Total magnetic moment (μB per atom): 0.000

Unit cell a=3.7385 b=3.7385 c=16.4942 alpha=90.00 beta=90.00 gamma=90.00
Closest atoms and distances in Å follow each position.
Space group I4mm (No. 107)
Inequivalent atoms, fractional coordinates:
Na: 0.0000 0.0000 0.0000 x2  4 Na 3.74, 4 Tb 3.77, 4 Ac 3.99
Ac: 0.0000 0.0000 0.3190 x2  4 Tb 3.69, 4 Ac 3.74, 4 Na 3.99
Tb: 0.0000 0.0000 0.6628 x2  4 Ac 3.69, 4 Tb 3.74, 4 Na 3.77